Entry 1:
# Zr2Mn5Ge3H2 PBE-GGA optimized geometry
data_Zr2Mn5Ge3H2
_symmetry_space_group_name_H-M 'I 4/m m m'
_symmetry_Int_Tables_number 139
_symmetry_space_group_name_Hall '-I 4 2'
_cell_length_a 3.7686
_cell_length_b 3.7686
_cell_length_c 21.0971
_cell_angle_alpha 90.00
_cell_angle_beta 90.00
_cell_angle_gamma 90.00
loop_
_atom_site_label
_atom_site_fract_x
_atom_site_fract_y
_atom_site_fract_z
Zr1 0.0000 0.0000 0.1989
Mn1 0.0000 0.0000 0.0000
Mn2 0.0000 0.5000 0.0850
Ge1 0.0000 0.0000 0.3342
Ge2 0.0000 0.0000 0.5000
H1 0.0000 0.0000 0.0880
# Energy, eV/atom: -7.338
# M_tot, μB per formula unit: 9.47

---

Entry 2:
# Sc2UPd9 PBE-GGA optimized geometry
data_Sc2UPd9
_symmetry_space_group_name_H-M 'P 4/m m m'
_symmetry_Int_Tables_number 123
_symmetry_space_group_name_Hall '-P 4 2'
_cell_length_a 4.0524
_cell_length_b 4.0524
_cell_length_c 12.1164
_cell_angle_alpha 90.00
_cell_angle_beta 90.00
_cell_angle_gamma 90.00
loop_
_atom_site_label
_atom_site_fract_x
_atom_site_fract_y
_atom_site_fract_z
Sc1 0.0000 0.0000 0.1584
U1 0.0000 0.0000 0.5000
Pd1 0.0000 0.5000 0.0000
Pd2 0.0000 0.5000 0.3318
Pd3 0.5000 0.5000 0.1651
Pd4 0.5000 0.5000 0.5000
# M_tot, μB per formula unit: 1.22
# E_form, eV/atom: -0.766

---

Entry 3:
# ScIrN3 PBE-GGA optimized geometry
data_ScIrN3
_symmetry_space_group_name_H-M 'P m -3 m'
_symmetry_Int_Tables_number 221
_symmetry_space_group_name_Hall '-P 4 2 3'
_cell_length_a 3.9937
_cell_length_b 3.9937
_cell_length_c 3.9937
_cell_angle_alpha 90.00
_cell_angle_beta 90.00
_cell_angle_gamma 90.00
loop_
_atom_site_label
_atom_site_fract_x
_atom_site_fract_y
_atom_site_fract_z
Sc1 0.0000 0.0000 0.0000
Ir1 0.5000 0.5000 0.5000
N1 0.0000 0.0000 0.5000
# M_tot, μB per formula unit: 0.01
# Formation energy from raw total energies, meV/atom: 1747

---

Entry 4:
# CeAl2ZnCu4 PBE-GGA optimized geometry
data_CeAl2ZnCu4
_symmetry_space_group_name_H-M 'R -3 m'
_symmetry_Int_Tables_number 166
_symmetry_space_group_name_Hall '-R 3 2"'
_cell_length_a 4.1756
_cell_length_b 4.1756
_cell_length_c 25.5413
_cell_angle_alpha 90.00
_cell_angle_beta 90.00
_cell_angle_gamma 120.00
loop_
_atom_site_label
_atom_site_fract_x
_atom_site_fract_y
_atom_site_fract_z
Ce1 0.0000 0.0000 0.0000
Al1 0.0000 0.0000 0.2406
Zn1 0.0000 0.0000 0.5000
Cu1 0.0000 0.0000 0.1326
Cu2 0.0000 0.0000 0.4037
# M_tot, μB per formula unit: 0.62
# E_form, eV/atom: -0.200

---

Which value of M_tot does entry 4 give?
0.62 μB per formula unit